<one>
Here is Pm8Pr2Er3 after structural relaxation from Alexandria. Energies are from PBE-GGA.

The structure in POSCAR format:
```
Pm8Pr2Er3
1.0
10.408 -3.852 0.000
10.408 3.852 0.000
-0.002 0.000 5.666
Pm Pr Er
8 2 3
Cartesian
8.256 2.268 5.666 Pm
3.480 0.000 2.836 Pm
12.558 2.268 0.001 Pm
7.736 0.000 2.835 Pm
13.078 0.000 2.832 Pm
8.256 -2.268 5.666 Pm
17.334 0.000 2.830 Pm
12.558 -2.268 0.001 Pm
5.415 0.000 0.004 Pr
15.399 0.000 5.662 Pr
10.407 2.201 2.833 Er
10.408 0.000 0.000 Er
10.407 -2.201 2.833 Er
```

## Properties
As for the space group: No. 12. For the spin magnetization, the calculation gives 0.0 μB/cell.


<two>
Here is Pm8Pr2Er3 after structural relaxation from Alexandria. Energies are from PBE-GGA.

The structure in POSCAR format:
```
Pm8Pr2Er3
1.0
6.278 0.000 0.000
1.051 6.199 0.000
2.097 -0.353 11.284
Pm Pr Er
8 2 3
Cartesian
1.067 0.369 3.948 Pm
3.130 2.109 8.188 Pm
3.155 4.247 1.346 Pm
5.224 4.946 9.059 Pm
4.201 0.900 2.225 Pm
6.271 1.598 9.938 Pm
6.295 3.737 3.096 Pm
8.359 5.477 7.337 Pm
1.055 1.415 0.448 Pr
8.370 4.431 10.836 Pr
3.157 3.192 4.799 Er
4.187 -0.177 5.642 Er
6.269 2.654 6.485 Er
```

## Properties
As for the space group: No. 2. For the spin magnetization, the calculation gives 0.0 μB/cell.


Calculated relative energies: <one> 187; <two> 0, given in meV per atom


<one>
Here is Pm4PrEr5 after structural relaxation from Alexandria. Energies are from PBE-GGA.

The structure in POSCAR format:
```
Pm4PrEr5
1.0
8.586 -1.770 0.000
8.586 1.770 0.000
-0.050 0.000 11.215
Pm Pr Er
4 1 5
Cartesian
0.519 0.000 2.769 Pm
5.895 0.000 2.805 Pm
11.226 0.000 8.410 Pm
16.603 0.000 8.446 Pm
8.561 0.000 5.607 Pr
2.969 0.000 0.526 Er
2.986 0.000 5.009 Er
8.586 0.000 0.000 Er
14.136 0.000 6.206 Er
14.153 0.000 10.689 Er
```

## Properties
As for the space group: No. 12. For the spin magnetization, the calculation gives 0.0 μB/cell.


<two>
Here is Pm4PrEr5 after structural relaxation from Alexandria. Energies are from PBE-GGA.

The structure in POSCAR format:
```
Pm4PrEr5
1.0
-5.160 5.160 3.136
5.160 -5.160 3.136
5.160 5.160 -3.136
Pm Pr Er
4 1 5
Cartesian
3.610 0.496 0.000 Pm
4.664 -1.550 3.136 Pm
0.496 6.710 0.000 Pm
1.550 4.664 3.136 Pm
0.000 0.000 4.813 Pr
0.000 0.000 1.437 Er
6.703 2.787 -0.037 Er
2.787 3.617 -0.037 Er
2.374 1.543 3.099 Er
-1.543 2.374 3.099 Er
```

## Properties
As for the space group: No. 79. For the spin magnetization, the calculation gives 0.0 μB/cell.


Calculated relative energies: <one> 0; <two> 90, given in meV per atom


<one>
Here is Pm5Pr2Er12 after structural relaxation from Alexandria. Energies are from PBE-GGA.

The structure in POSCAR format:
```
Pm5Pr2Er12
1.0
7.817 -4.644 0.000
7.817 4.644 0.000
-0.297 0.000 8.612
Pm Pr Er
5 2 12
Cartesian
0.000 0.000 0.000 Pm
3.582 0.000 0.629 Pm
4.481 0.000 4.177 Pm
10.855 0.000 4.434 Pm
11.754 0.000 7.983 Pm
7.668 1.666 4.306 Pr
7.668 -1.666 4.306 Pr
5.385 2.986 2.210 Er
1.165 0.000 3.255 Er
5.556 1.757 7.239 Er
9.952 2.986 6.402 Er
9.780 1.757 1.373 Er
6.878 0.000 1.432 Er
8.458 0.000 7.180 Er
5.556 -1.757 7.239 Er
5.385 -2.986 2.210 Er
9.780 -1.757 1.373 Er
14.171 0.000 5.357 Er
9.952 -2.986 6.402 Er
```

## Properties
As for the space group: No. 12. For the spin magnetization, the calculation gives 0.0 μB/cell.


<two>
Here is Pm5Pr2Er12 after structural relaxation from Alexandria. Energies are from PBE-GGA.

The structure in POSCAR format:
```
Pm5Pr2Er12
1.0
6.288 0.000 0.000
0.356 9.042 0.000
1.440 0.483 10.827
Pm Pr Er
5 2 12
Cartesian
0.000 0.000 0.000 Pm
1.632 9.106 3.728 Pm
3.249 5.493 10.245 Pm
4.835 4.033 0.582 Pm
6.452 0.419 7.098 Pm
3.543 4.631 3.712 Pr
4.542 4.894 7.115 Pr
1.341 3.419 8.329 Er
1.498 6.285 5.954 Er
1.468 2.741 1.725 Er
3.612 8.164 8.136 Er
3.377 1.820 5.995 Er
3.580 7.516 1.178 Er
4.504 2.009 9.649 Er
4.708 7.705 4.832 Er
4.472 1.362 2.691 Er
6.616 6.784 9.102 Er
6.586 3.241 4.873 Er
6.744 6.107 2.497 Er
```

## Properties
As for the space group: No. 2. For the spin magnetization, the calculation gives 0.0 μB/cell.


Calculated relative energies: <one> 63; <two> 0, given in meV per atom


<one>
Here is Pm6PrEr3 after structural relaxation from Alexandria. Energies are from PBE-GGA.

The structure in POSCAR format:
```
Pm6PrEr3
1.0
4.892 -10.676 0.000
4.892 10.676 0.000
0.000 0.000 6.470
Pm Pr Er
12 2 6
Cartesian
4.892 10.368 3.235 Pm
3.188 4.661 6.218 Pm
3.144 1.249 4.611 Pm
4.892 4.252 3.167 Pm
3.144 -1.249 1.376 Pm
6.595 4.661 6.218 Pm
3.188 -4.661 2.983 Pm
6.640 1.249 4.611 Pm
4.892 -4.252 6.402 Pm
6.640 -1.249 1.376 Pm
6.595 -4.661 2.983 Pm
4.892 -10.368 0.000 Pm
4.892 7.316 1.843 Pr
4.892 -7.316 5.078 Pr
1.655 2.709 1.980 Er
1.655 -2.709 5.215 Er
4.892 1.740 1.239 Er
4.892 -1.740 4.473 Er
8.129 2.709 1.980 Er
8.129 -2.709 5.215 Er
```

## Properties
As for the space group: No. 36. For the spin magnetization, the calculation gives 0.0 μB/cell.


<two>
Here is Pm6PrEr3 after structural relaxation from Alexandria. Energies are from PBE-GGA.

The structure in POSCAR format:
```
Pm6PrEr3
1.0
5.515 -9.632 0.000
5.515 9.632 0.000
0.000 0.000 6.315
Pm Pr Er
12 2 6
Cartesian
5.515 8.910 3.157 Pm
2.913 4.026 6.263 Pm
5.515 4.212 1.675 Pm
3.663 0.787 1.051 Pm
3.663 -0.787 4.209 Pm
2.913 -4.026 3.105 Pm
8.116 4.026 6.263 Pm
7.366 0.787 1.051 Pm
7.366 -0.787 4.209 Pm
5.515 -4.212 4.833 Pm
8.116 -4.026 3.105 Pm
5.515 -8.910 0.000 Pm
5.515 5.872 4.616 Pr
5.515 -5.872 1.458 Pr
1.910 2.210 3.683 Er
1.910 -2.210 0.526 Er
5.515 2.223 4.462 Er
5.515 -2.223 1.304 Er
9.119 2.210 3.683 Er
9.119 -2.210 0.526 Er
```

## Properties
As for the space group: No. 36. For the spin magnetization, the calculation gives 0.0 μB/cell.


Calculated relative energies: <one> 0; <two> 19, given in meV per atom


<one>
Here is Pm3Pr7Er after structural relaxation from Alexandria. Energies are from PBE-GGA.

The structure in POSCAR format:
```
Pm3Pr7Er
1.0
5.926 -5.184 0.000
5.926 5.184 0.000
-0.573 0.000 6.547
Pm Pr Er
3 7 1
Cartesian
0.000 0.000 0.000 Pm
5.639 3.421 3.273 Pm
5.639 -3.421 3.273 Pm
2.880 1.793 1.560 Pr
2.429 0.000 4.684 Pr
2.880 -1.793 1.560 Pr
5.639 0.000 3.273 Pr
8.398 1.793 4.986 Pr
8.849 0.000 1.863 Pr
8.398 -1.793 4.986 Pr
5.926 0.000 0.000 Er
```

## Properties
As for the space group: No. 12. For the spin magnetization, the calculation gives 0.0 μB/cell.


<two>
Here is Pm3Pr7Er after structural relaxation from Alexandria. Energies are from PBE-GGA.

The structure in POSCAR format:
```
Pm3Pr7Er
1.0
6.503 -5.742 0.000
6.503 5.742 0.000
-2.782 0.000 5.338
Pm Pr Er
3 7 1
Cartesian
0.000 0.000 0.000 Pm
5.111 3.360 2.669 Pm
5.111 -3.360 2.669 Pm
1.733 3.353 4.298 Pr
0.756 0.000 3.796 Pr
8.490 3.353 1.039 Pr
5.111 0.000 2.669 Pr
1.733 -3.353 4.298 Pr
9.466 0.000 1.542 Pr
8.490 -3.353 1.039 Pr
6.503 0.000 0.000 Er
```

## Properties
As for the space group: No. 12. For the spin magnetization, the calculation gives 0.0 μB/cell.


Calculated relative energies: <one> 7; <two> 0, given in meV per atom


<one>
Here is TbPmPrEr after structural relaxation from Alexandria. Energies are from PBE-GGA.

The structure in POSCAR format:
```
TbPmPrEr
1.0
8.118 0.000 0.000
0.000 8.118 0.000
0.000 0.000 8.118
Tb Pm Pr Er
4 4 4 4
Cartesian
0.000 0.000 0.000 Tb
0.000 4.059 4.059 Tb
4.059 0.000 4.059 Tb
4.059 4.059 0.000 Tb
2.030 2.030 6.089 Pm
2.030 6.089 2.030 Pm
6.089 2.030 2.030 Pm
6.089 6.089 6.089 Pm
2.030 2.030 2.030 Pr
2.030 6.089 6.089 Pr
6.089 2.030 6.089 Pr
6.089 6.089 2.030 Pr
0.000 0.000 4.059 Er
0.000 4.059 0.000 Er
4.059 0.000 0.000 Er
4.059 4.059 4.059 Er
```

## Properties
As for the space group: No. 216. For the spin magnetization, the calculation gives 0.0 μB/cell.


<two>
Here is TbPmPrEr after structural relaxation from Alexandria. Energies are from PBE-GGA.

The structure in POSCAR format:
```
TbPmPrEr
1.0
5.113 0.000 0.000
0.000 5.113 0.000
0.000 0.000 10.171
Tb Pm Pr Er
2 2 2 2
Cartesian
0.000 0.000 0.000 Tb
2.556 2.556 5.086 Tb
0.000 2.556 2.543 Pm
2.556 0.000 7.629 Pm
0.000 0.000 5.086 Pr
2.556 2.556 0.000 Pr
0.000 2.556 7.629 Er
2.556 0.000 2.543 Er
```

## Properties
As for the space group: No. 119. For the spin magnetization, the calculation gives 0.0 μB/cell.


Calculated relative energies: <one> 95; <two> 0, given in meV per atom


<one>
Here is PmPrErTh after structural relaxation from Alexandria. Energies are from PBE-GGA.

The structure in POSCAR format:
```
PmPrErTh
1.0
8.114 0.000 0.000
0.000 8.114 0.000
0.000 0.000 8.114
Pm Pr Er Th
4 4 4 4
Cartesian
0.000 0.000 0.000 Pm
0.000 4.057 4.057 Pm
4.057 0.000 4.057 Pm
4.057 4.057 0.000 Pm
2.028 2.028 6.085 Pr
2.028 6.085 2.028 Pr
6.085 2.028 2.028 Pr
6.085 6.085 6.085 Pr
0.000 0.000 4.057 Er
0.000 4.057 0.000 Er
4.057 0.000 0.000 Er
4.057 4.057 4.057 Er
2.028 2.028 2.028 Th
2.028 6.085 6.085 Th
6.085 2.028 6.085 Th
6.085 6.085 2.028 Th
```

## Properties
As for the space group: No. 216. For the spin magnetization, the calculation gives 0.0 μB/cell.


<two>
Here is PmPrErTh after structural relaxation from Alexandria. Energies are from PBE-GGA.

The structure in POSCAR format:
```
PmPrErTh
1.0
3.612 0.000 0.000
0.000 3.612 0.000
0.000 0.000 10.232
Pm Pr Er Th
1 1 1 1
Cartesian
0.000 0.000 0.000 Pm
1.806 1.806 2.743 Pr
0.000 0.000 5.357 Er
1.806 1.806 7.755 Th
```

## Properties
As for the space group: No. 99. For the spin magnetization, the calculation gives 0.0 μB/cell.


Calculated relative energies: <one> 136; <two> 0, given in meV per atom


<one>
Here is PmPrYEr after structural relaxation from Alexandria. Energies are from PBE-GGA.

The structure in POSCAR format:
```
PmPrYEr
1.0
5.120 0.000 0.000
0.000 5.120 0.000
0.000 0.000 10.171
Pm Pr Y Er
2 2 2 2
Cartesian
0.000 0.000 0.000 Pm
2.560 2.560 5.086 Pm
0.000 2.560 2.543 Pr
2.560 0.000 7.628 Pr
0.000 0.000 5.086 Y
2.560 2.560 0.000 Y
0.000 2.560 7.628 Er
2.560 0.000 2.543 Er
```

## Properties
As for the space group: No. 119. For the spin magnetization, the calculation gives 0.0 μB/cell.


<two>
Here is PmPrYEr after structural relaxation from Alexandria. Energies are from PBE-GGA.

The structure in POSCAR format:
```
PmPrYEr
1.0
8.133 0.000 0.000
0.000 8.133 0.000
0.000 0.000 8.133
Pm Pr Y Er
4 4 4 4
Cartesian
0.000 0.000 0.000 Pm
0.000 4.066 4.066 Pm
4.066 0.000 4.066 Pm
4.066 4.066 0.000 Pm
0.000 0.000 4.066 Pr
0.000 4.066 0.000 Pr
4.066 0.000 0.000 Pr
4.066 4.066 4.066 Pr
2.033 2.033 2.033 Y
2.033 6.099 6.099 Y
6.099 2.033 6.099 Y
6.099 6.099 2.033 Y
2.033 2.033 6.099 Er
2.033 6.099 2.033 Er
6.099 2.033 2.033 Er
6.099 6.099 6.099 Er
```

## Properties
As for the space group: No. 216. For the spin magnetization, the calculation gives 0.0 μB/cell.


Calculated relative energies: <one> 0; <two> 83, given in meV per atom